CeAlZnPd | the Alexandria database | PBE-GGA | relaxed; energy of formation from the pure elements = -0.518 eV per atom; SG = F-43m (216); energy relative to the lowest polymorph listed for this composition = 0 meV/atom; volume = 76.5 Å³ per cell
1.0
-0.3457 -0.9816 -4.6504
0.6971 -4.4507 -1.5540
-3.6759 -2.5585 -1.6284
Al Ce Pd Zn
1 1 1 1
direct
0.2500 0.2500 0.2500
0.7500 0.7500 0.7500
0.0000 0.0000 0.0000
0.5000 0.5000 0.5000

---

CeAgC | the Alexandria database | PBE-GGA | relaxed; energy of formation from the pure elements = -0.129 eV per atom; SG = C2/m (12); volume = 114.1 Å³ per cell
1.0
3.8838 0.0000 0.0000
-1.9419 4.1282 0.2078
0.0000 -1.8978 7.0198
Ag Ce C
2 2 2
direct
0.6385 0.2771 0.4327
0.3615 0.7229 0.5673
0.1127 0.2255 0.8269
0.8873 0.7745 0.1731
0.4170 0.8340 0.9510
0.5830 0.1660 0.0490

---

In2As2Au | the Alexandria database | PBE-GGA | relaxed; energy of formation from the pure elements = 0.307 eV per atom; SG = I4/mmm (139); energy relative to the lowest polymorph listed for this composition = 251 meV/atom; volume = 123.9 Å³ per cell
1.0
4.4642 0.0000 0.0000
0.0000 4.4642 0.0000
2.2321 2.2321 6.2189
As In Au
2 2 1
direct
0.6090 0.6090 0.7819
0.3910 0.3910 0.2181
0.7500 0.2500 0.5000
0.2500 0.7500 0.5000
0.0000 0.0000 0.0000

---

PaMnMoC3 | the Alexandria database | PBE-GGA | relaxed; energy of formation from the pure elements = -0.087 eV per atom; SG = P2_1/m (11); volume = 152.6 Å³ per cell
1.0
-0.3789 -1.9101 2.4955
6.5230 -1.6584 -0.2789
-0.2167 5.8806 4.4681
Mo Mn C Pa
2 2 6 2
direct
0.7500 0.3474 0.8706
0.2500 0.6526 0.1294
0.2500 0.1121 0.6037
0.7500 0.8879 0.3963
0.2500 0.1181 0.8639
0.2500 0.8143 0.5021
0.2500 0.5600 0.8336
0.7500 0.1857 0.4979
0.7500 0.8819 0.1361
0.7500 0.4400 0.1664
0.2500 0.1889 0.2078
0.7500 0.8111 0.7922

---

Sc2HRuAu | the Alexandria database | PBE-GGA | relaxed; DFT total energy = -6.338 eV per atom; SG = P4/mmm (123); volume = 75.0 Å³ per cell
1.0
-1.0255 4.4778 -0.2347
-2.4373 -0.7588 -3.8264
-2.9003 -0.5615 1.9588
Ru Au H Sc
1 1 1 2
direct
0.0000 0.0000 0.5000
0.5000 0.5000 0.5000
0.0000 0.0000 0.0000
0.5000 0.0000 0.0000
0.0000 0.5000 0.0000

---

LaTb5Sm3 | the Alexandria database | PBE-GGA | relaxed; energy of formation from the pure elements = 0.483 eV per atom; SG = C2/m (12); energy relative to the lowest polymorph listed for this composition = 178 meV/atom; volume = 670.7 Å³ per cell
1.0
9.4518 -0.0656 1.5668
2.5244 9.1087 1.5668
5.7719 4.3583 9.2853
Sm Tb La
6 10 2
direct
0.3078 0.3078 0.1860
0.0000 0.0000 0.0000
0.3389 0.3389 0.6425
0.6922 0.6922 0.8140
0.0000 0.0000 0.5000
0.6611 0.6611 0.3575
0.8527 0.3542 0.2520
0.2567 0.7433 0.0000
0.7433 0.2567 0.0000
0.1784 0.1784 0.0478
0.6458 0.1473 0.7480
0.8216 0.8216 0.9522
0.3542 0.8527 0.2520
0.5003 0.5003 0.2222
0.4997 0.4997 0.7778
0.1473 0.6458 0.7480
0.8327 0.8327 0.4138
0.1673 0.1673 0.5862

---

| no. | total magnetic moment (μB/atom) |
| --- | --- |
| 1 | 0.04 |
| 2 | 0.10 |
| 3 | 0.00 |
| 4 | 0.00 |
| 5 | 0.00 |
| 6 | 0.00 |